1.
Material: TaTi2Pb
Method: DFT, GGA-PBE
State: relaxed

CIF file:
```
data_TaTi2Pb
_chemical_formula_sum 'Ta3 Ti6 Pb3'
_cell_length_a 3.1323
_cell_length_b 3.1323
_cell_length_c 28.1696
_cell_angle_alpha 90.00
_cell_angle_beta 90.00
_cell_angle_gamma 120.00
_space_group_name_H-M_alt 'R 3 m'
_space_group_IT_number 160
_space_group_name_Hall 'R 3 -2"'
loop_
_atom_site_label
_atom_site_type_symbol
_atom_site_fract_x
_atom_site_fract_y
_atom_site_fract_z
_atom_site_occupancy
Ta1 Ta 0.0000 0.0000 0.0000 1
Ti1 Ti 0.0000 0.0000 0.2551 1
Ti2 Ti 0.0000 0.0000 0.4114 1
Pb1 Pb 0.0000 0.0000 0.8332 1
```

Calculated values
For the total magnetization, the calculation gives 0.00 μB per formula unit. The value obtained for the final energy is -91.6 eV/cell. The energy of formation from the pure elements comes out at 0.8 eV per formula unit. The density of states at the Fermi level comes out at 16.5 states/eV/cell.


2.
Material: TiFeCuSb
Method: DFT, GGA-PBE
State: relaxed

CIF file:
```
data_TiFeCuSb
_chemical_formula_sum 'Ti4 Fe4 Cu4 Sb4'
_cell_length_a 6.143
_cell_length_b 6.143
_cell_length_c 6.143
_cell_angle_alpha 90.00
_cell_angle_beta 90.00
_cell_angle_gamma 90.00
_space_group_name_H-M_alt 'F -4 3 m'
_space_group_IT_number 216
_space_group_name_Hall 'F -4 2 3'
loop_
_atom_site_label
_atom_site_type_symbol
_atom_site_fract_x
_atom_site_fract_y
_atom_site_fract_z
_atom_site_occupancy
Ti1 Ti 0.000 0.000 0.000 1
Fe1 Fe 0.250 0.250 0.750 1
Cu1 Cu 0.250 0.250 0.250 1
Sb1 Sb 0.000 0.000 0.500 1
```

Calculated values
For the total magnetization, the calculation gives 0.00 μB per formula unit. The value obtained for the final energy is -100.0 eV/cell. As for the formation energy from raw total energies: -0.11 eV per atom.


3.
Material: ErSc2Fe
Method: DFT, GGA-PBE
State: relaxed

CIF file:
```
data_ErSc2Fe
_chemical_formula_sum 'Er4 Sc8 Fe4'
_cell_length_a 3.593
_cell_length_b 11.387
_cell_length_c 8.491
_cell_angle_alpha 90.00
_cell_angle_beta 90.00
_cell_angle_gamma 90.00
_space_group_name_H-M_alt 'C m c m'
_space_group_IT_number 63
_space_group_name_Hall '-C 2c 2'
loop_
_atom_site_label
_atom_site_type_symbol
_atom_site_fract_x
_atom_site_fract_y
_atom_site_fract_z
_atom_site_occupancy
Er1 Er 0.000 0.073 0.250 1
Sc1 Sc 0.000 0.352 0.068 1
Fe1 Fe 0.000 0.252 0.750 1
```

Calculated values
For the total magnetization, the calculation gives 0.00 μB per formula unit. The value obtained for the final energy is -103.7 eV/cell. The energy of formation from the pure elements comes out at -0.2 eV per formula unit. The density of states at the Fermi level comes out at 19.8 states/eV/cell.


4.
Material: AlSbTe2Au
Method: DFT, GGA-PBE
State: relaxed

CIF file:
```
data_AlSbTe2Au
_chemical_formula_sum 'Al1 Sb1 Te2 Au1'
_cell_length_a 5.278
_cell_length_b 5.278
_cell_length_c 5.269
_cell_angle_alpha 90.00
_cell_angle_beta 90.00
_cell_angle_gamma 90.00
_space_group_name_H-M_alt 'P 4/m m m'
_space_group_IT_number 123
_space_group_name_Hall '-P 4 2'
loop_
_atom_site_label
_atom_site_type_symbol
_atom_site_fract_x
_atom_site_fract_y
_atom_site_fract_z
_atom_site_occupancy
Al1 Al 0.000 0.000 0.000 1
Sb1 Sb 0.000 0.000 0.500 1
Te1 Te 0.000 0.500 0.000 1
Au1 Au 0.500 0.500 0.500 1
```

Calculated values
For the total magnetization, the calculation gives 0.00 μB per formula unit. The value obtained for the final energy is -14.5 eV/cell. The density of states at the Fermi level comes out at 5.6 states/eV/cell. As for the formation energy from raw total energies: 0.59 eV per atom.


5.
Material: PuUGa2
Method: DFT, GGA-PBE
State: relaxed

CIF file:
```
data_PuUGa2
_chemical_formula_sum 'Pu1 U1 Ga2'
_cell_length_a 2.940
_cell_length_b 2.940
_cell_length_c 9.234
_cell_angle_alpha 90.00
_cell_angle_beta 90.00
_cell_angle_gamma 90.00
_space_group_name_H-M_alt 'P 4/m m m'
_space_group_IT_number 123
_space_group_name_Hall '-P 4 2'
loop_
_atom_site_label
_atom_site_type_symbol
_atom_site_fract_x
_atom_site_fract_y
_atom_site_fract_z
_atom_site_occupancy
Pu1 Pu 0.000 0.000 0.000 1
U1 U 0.000 0.000 0.500 1
Ga1 Ga 0.500 0.500 0.252 1
```

Calculated values
For the total magnetization, the calculation gives 6.62 μB per formula unit. The value obtained for the final energy is -32.4 eV/cell. The energy of formation from the pure elements comes out at -0.7 eV per formula unit. The density of states at the Fermi level comes out at 9.3 states/eV/cell.


6.
Material: PrErTm14
Method: DFT, GGA-PBE
State: relaxed

CIF file:
```
data_PrErTm14
_chemical_formula_sum 'Pr2 Er2 Tm28'
_cell_length_a 11.311
_cell_length_b 7.046
_cell_length_c 12.199
_cell_angle_alpha 90.00
_cell_angle_beta 90.00
_cell_angle_gamma 90.00
_space_group_name_H-M_alt 'A m m 2'
_space_group_IT_number 38
loop_
_space_group_symop_operation_xyz
'x,y,z'
'-x,-y,z'
'-x,y,z'
'x,-y,z'
'x,y+1/2,z+1/2'
'-x,-y+1/2,z+1/2'
'-x,y+1/2,z+1/2'
'x,-y+1/2,z+1/2'
loop_
_atom_site_label
_atom_site_type_symbol
_atom_site_fract_x
_atom_site_fract_y
_atom_site_fract_z
_atom_site_occupancy
Pr1 Pr 0.000 0.000 0.000 1
Er1 Er 0.000 0.000 0.500 1
Tm1 Tm 0.000 0.250 0.250 1
Tm2 Tm 0.250 0.000 0.667 1
Tm3 Tm 0.253 0.000 0.167 1
Tm4 Tm 0.253 0.249 0.417 1
Tm5 Tm 0.500 0.000 0.334 1
Tm6 Tm 0.500 0.000 0.833 1
Tm7 Tm 0.500 0.250 0.084 1
```

Calculated values
For the total magnetization, the calculation gives 0.00 μB per formula unit. The value obtained for the final energy is -143.5 eV/cell. The energy of formation from the pure elements comes out at 0.2 eV per formula unit. The density of states at the Fermi level comes out at 45.2 states/eV/cell.


7.
Material: AcPm4Pr
Method: DFT, GGA-PBE
State: relaxed

CIF file:
```
data_AcPm4Pr
_chemical_formula_sum 'Ac4 Pm16 Pr4'
_cell_length_a 9.610
_cell_length_b 9.610
_cell_length_c 9.610
_cell_angle_alpha 90.00
_cell_angle_beta 90.00
_cell_angle_gamma 90.00
_space_group_name_H-M_alt 'F -4 3 m'
_space_group_IT_number 216
_space_group_name_Hall 'F -4 2 3'
loop_
_atom_site_label
_atom_site_type_symbol
_atom_site_fract_x
_atom_site_fract_y
_atom_site_fract_z
_atom_site_occupancy
Ac1 Ac 0.000 0.000 0.000 1
Pm1 Pm 0.124 0.124 0.624 1
Pr1 Pr 0.250 0.250 0.250 1
```

Calculated values
For the total magnetization, the calculation gives 0.00 μB per formula unit. The value obtained for the final energy is -106.1 eV/cell. The energy of formation from the pure elements comes out at 1.4 eV per formula unit. The density of states at the Fermi level comes out at 45.6 states/eV/cell.


8.
Material: TaSb3Mo
Method: DFT, GGA-PBE
State: relaxed

CIF file:
```
data_TaSb3Mo
_chemical_formula_sum 'Ta1 Sb3 Mo1'
_cell_length_a 5.334
_cell_length_b 5.334
_cell_length_c 5.334
_cell_angle_alpha 90.00
_cell_angle_beta 90.00
_cell_angle_gamma 90.00
_space_group_name_H-M_alt 'P m -3 m'
_space_group_IT_number 221
_space_group_name_Hall '-P 4 2 3'
loop_
_atom_site_label
_atom_site_type_symbol
_atom_site_fract_x
_atom_site_fract_y
_atom_site_fract_z
_atom_site_occupancy
Ta1 Ta 0.000 0.000 0.000 1
Sb1 Sb 0.000 0.000 0.500 1
Mo1 Mo 0.500 0.500 0.500 1
```

Calculated values
For the total magnetization, the calculation gives 4.31 μB per formula unit. The value obtained for the final energy is -29.3 eV/cell. The density of states at the Fermi level comes out at 2.1 states/eV/cell. As for the formation energy from raw total energies: 1.14 eV per atom.